No. 1
# PBE SrYRh2, optimized geometry
# **ΔE_f**: -176 meV/atom
# **Calculated volume**: 94.0 Å³ per cell
# **Crystal system**: trigonal
data_SrYRh2
_symmetry_space_group_name_H-M 'P 1'
_symmetry_Int_Tables_number 1
_cell_length_a 8.419
_cell_length_b 8.419
_cell_length_c 8.419
_cell_angle_alpha 25.03
_cell_angle_beta 25.03
_cell_angle_gamma 25.03
loop_
_symmetry_equiv_pos_as_xyz
'x,y,z'
loop_
_atom_site_label
_atom_site_fract_x
_atom_site_fract_y
_atom_site_fract_z
Sr1 0.250 0.250 0.250
Y1 0.750 0.750 0.750
Rh1 0.494 0.494 0.494
Rh2 0.006 0.006 0.006

***

No. 2
# PBE BaMgAg, optimized geometry
# **ΔE_f**: -55 meV/atom
# **Calculated volume**: 108.6 Å³ per cell
# **Crystal system**: cubic
data_BaMgAg
_symmetry_space_group_name_H-M 'P 1'
_symmetry_Int_Tables_number 1
_cell_length_a 5.356
_cell_length_b 5.356
_cell_length_c 5.356
_cell_angle_alpha 60.00
_cell_angle_beta 60.00
_cell_angle_gamma 60.00
loop_
_symmetry_equiv_pos_as_xyz
'x,y,z'
loop_
_atom_site_label
_atom_site_fract_x
_atom_site_fract_y
_atom_site_fract_z
Ba1 0.000 0.000 0.000
Ag1 0.750 0.750 0.750
Mg1 0.500 0.500 0.500

***

No. 3
# PBE SmErAl2, optimized geometry
# **ΔE_f**: -145 meV/atom
# **Calculated volume**: 103.9 Å³ per cell
# **Crystal system**: trigonal
# **Energy above the lowest structure with this stoichiometry**: 242 meV per atom
data_SmErAl2
_symmetry_space_group_name_H-M 'P 1'
_symmetry_Int_Tables_number 1
_cell_length_a 3.600
_cell_length_b 3.600
_cell_length_c 9.487
_cell_angle_alpha 79.06
_cell_angle_beta 79.06
_cell_angle_gamma 60.00
loop_
_symmetry_equiv_pos_as_xyz
'x,y,z'
loop_
_atom_site_label
_atom_site_fract_x
_atom_site_fract_y
_atom_site_fract_z
Er1 0.000 0.000 0.000
Al1 0.748 0.748 0.756
Al2 0.252 0.252 0.244
Sm1 0.500 0.500 0.500